Entry 1:
Below is a geometry-optimized AcFeI2O8 structure, with properties calculated at the GGA+U level.

Lattice parameters (Å, degrees): 5.3079 5.3079 19.7655 90.00 90.00 120.00
Space group R-3 (No. 148, hexagonal axes)
Symmetry-distinct sites (fractional):
Ac 0.0000 0.0000 0.0000 (multiplicity 3)
Fe 0.0000 0.0000 0.5000 (multiplicity 3)
I 0.0000 0.0000 0.2176 (multiplicity 6)
O 0.0000 0.0000 0.3109 (multiplicity 6)
O 0.0109 0.6235 0.2249 (multiplicity 18)

Calculated values
DOS(E_F) in states/eV per cell: 0.0
Energy in eV/atom: -5.36
Total moment in μB per formula unit: 1.011

***

Entry 2:
Below is a geometry-optimized AcFeIO2 structure, with properties calculated at the GGA+U level.

Lattice parameters (Å, degrees): 5.975 4.115 10.973 90.00 94.25 90.00
Space group P2_1/m (No. 11)
Symmetry-distinct sites (fractional):
Ac 0.238 0.250 0.413 (multiplicity 2)
Fe 0.270 0.250 0.717 (multiplicity 2)
I 0.233 0.750 0.880 (multiplicity 2)
O 0.012 0.250 0.598 (multiplicity 2)
O 0.491 0.750 0.395 (multiplicity 2)

Calculated values
DOS(E_F) in states/eV per cell: 0.0
Energy in eV/atom: -6.37
Total moment in μB per formula unit: 4.004

***

Entry 3:
Below is a geometry-optimized AcFeIO6 structure, with properties calculated at the GGA+U level.

Lattice parameters (Å, degrees): 5.3999 5.3999 5.2936 90.00 90.00 120.00
Space group P312 (No. 149)
Symmetry-distinct sites (fractional):
Ac 0.0000 0.0000 0.0000 (multiplicity 1)
Fe 0.3333 0.6667 0.5000 (multiplicity 1)
I 0.6667 0.3333 0.5000 (multiplicity 1)
O 0.3884 0.0322 0.7067 (multiplicity 6)

Calculated values
Energy in eV/atom: -6.12
Total moment in μB per formula unit: 4.000

***

Question: What is the energy in the first record?
Answer: -5.36 eV/atom

***

Question: energy of number 1 (AcFeI2O8)?
Answer: -5.36 eV/atom